Computed, not measured: a relaxed structure of CsTl2WO4 at the PBE with a Hubbard U level of DFT.

The value obtained for the spin magnetization is 0.000 μB/f.u. The calculation puts the total energy at -0.40439 Ry/atom.

The space group is I-42m (No. 121) and the conventional cell measures 7.3474, 7.3474 and 7.5616 Å, with angles of 90.00, 90.00 and 90.00 degrees. The inequivalent atoms are Cs at (0.0000, 0.0000, 0.0000), Tl at (0.0000, 0.5000, 0.2500), W at (0.0000, 0.0000, 0.5000) and O at (0.1419, 0.1419, 0.3578).